This record from Alexandria describes a crystal of AlCdAs2 relaxed with PBEsol. The functional is SCAN.

Structure (POSCAR):
```
AlCdAs2
1.0
-2.293 1.193 1.832
-1.642 -2.692 -0.303
3.419 -2.770 6.084
As Al Cd
2 1 1
direct
0.000 0.000 0.719
0.000 0.000 0.281
0.500 0.500 0.500
0.500 0.500 0.000
```

Calculated values
* distance to the lowest polymorph of the same formula: 224 meV/atom
* spin magnetization: 0.000 μB/atom
* energy of formation from the pure elements: 0.182 eV per atom
* volume: 18.84 A^3/atom
* DFT total energy: -19.45 eV per atom

=====

This record from Alexandria describes a crystal of RhPb2Br relaxed with PBEsol. The functional is SCAN.

Structure (POSCAR):
```
RhPb2Br
1.0
3.505 0.000 0.000
1.752 3.035 0.000
1.752 1.012 8.914
Rh Br Pb
1 1 2
direct
0.501 0.501 0.496
0.236 0.236 0.293
0.995 0.995 0.015
0.768 0.768 0.697
```

Calculated values
* distance to the lowest polymorph of the same formula: 247 meV/atom
* formation energy (no corrections): 0.3 eV/f.u.
* spin magnetization: 0.164 μB/atom
* volume: 23.71 A^3/atom
* DFT total energy: -51.12 eV per atom

=====

This record from Alexandria describes a crystal of FeTc2As relaxed with PBEsol. The functional is SCAN.

Structure (POSCAR):
```
FeTc2As
1.0
2.828 0.000 0.000
0.000 3.780 0.000
0.000 0.000 5.023
Tc As Fe
2 1 1
direct
0.500 0.500 0.240
0.000 0.000 0.005
0.000 0.000 0.513
0.500 0.500 0.742
```

Calculated values
* distance to the lowest polymorph of the same formula: 159 meV/atom
* spin magnetization: 0.675 μB/atom
* energy of formation from the pure elements: 0.069 eV per atom
* volume: 13.42 A^3/atom
* DFT total energy: -27.04 eV per atom

=====

This record from Alexandria describes a crystal of AlFe2Pb relaxed with PBEsol. The functional is SCAN.

Structure (POSCAR):
```
AlFe2Pb
1.0
3.065 0.000 0.000
0.000 4.235 0.000
0.000 0.000 4.235
Al Fe Pb
1 2 1
direct
0.500 0.000 0.000
0.000 0.000 0.500
0.000 0.500 0.000
0.500 0.500 0.500
```

Calculated values
* spin magnetization: 0.011 μB/atom
* energy of formation from the pure elements: 0.527 eV per atom
* volume: 13.74 A^3/atom
* DFT total energy: -29.42 eV per atom

=====

This record from Alexandria describes a crystal of MgTa2RhBr relaxed with PBEsol. The functional is SCAN.

Structure (POSCAR):
```
MgTa2RhBr
1.0
4.571 0.000 0.000
0.000 4.682 0.000
0.000 0.000 4.682
Br Ta Rh Mg
1 2 1 1
direct
0.000 0.000 0.000
0.000 0.500 0.000
0.000 0.000 0.500
0.500 0.000 0.000
0.500 0.500 0.500
```

Calculated values
* formation energy (no corrections): 5.8 eV/f.u.
* spin magnetization: 0.000 μB/atom
* volume: 20.04 A^3/atom
* DFT total energy: -37.12 eV per atom

=====

This record from Alexandria describes a crystal of CdSiRh2 relaxed with PBEsol. The functional is SCAN.

Structure (POSCAR):
```
CdSiRh2
1.0
-1.692 1.822 -1.931
-2.018 0.605 2.340
3.362 4.861 1.642
Cd Si Rh
1 1 2
direct
0.500 0.500 0.759
0.000 0.000 0.430
0.000 0.000 0.018
0.500 0.500 0.293
```

Calculated values
* formation energy (no corrections): -0.6 eV/f.u.
* spin magnetization: 0.000 μB/atom
* volume: 15.20 A^3/atom
* DFT total energy: -27.14 eV per atom